The following is a PBE calculation of crystalline GdPu2Pa at its relaxed geometry, from Alexandria via LeMat-Bulk.

a b c (Å): 7.527 7.527 7.527
angles (deg): 90.00 90.00 90.00
Space group Fm-3m (No. 225)
Asymmetric unit:
Gd (0.000, 0.000, 0.000)
Pu (0.250, 0.250, 0.250)
Pa (0.000, 0.000, 0.500)

Output
- total energy (eV per atom) = -12.77
- excess energy over the best structure of this formula in the dataset (meV per atom) = 160


The following is a PBE calculation of crystalline GdPu2Pa at its relaxed geometry, from Alexandria via LeMat-Bulk.

a b c (Å): 4.777 4.777 4.560
angles (deg): 90.00 90.00 90.00
Space group P4/mmm (No. 123)
Asymmetric unit:
Gd (0.000, 0.000, 0.000)
Pu (0.000, 0.500, 0.500)
Pa (0.500, 0.500, 0.000)

Output
- total energy (eV per atom) = -12.83
- excess energy over the best structure of this formula in the dataset (meV per atom) = 105


The following is a PBE calculation of crystalline GdPuPaRe at its relaxed geometry, from Alexandria via LeMat-Bulk.

a b c (Å): 7.101 7.101 7.101
angles (deg): 90.00 90.00 90.00
Space group F-43m (No. 216)
Asymmetric unit:
Gd (0.000, 0.000, 0.000)
Pu (0.250, 0.250, 0.750)
Pa (0.250, 0.250, 0.250)
Re (0.000, 0.000, 0.500)

Output
- total energy (eV per atom) = -12.28


The following is a PBE calculation of crystalline GdPuPaSn at its relaxed geometry, from Alexandria via LeMat-Bulk.

a b c (Å): 7.426 7.426 7.426
angles (deg): 90.00 90.00 90.00
Space group F-43m (No. 216)
Asymmetric unit:
Gd (0.000, 0.000, 0.000)
Pu (0.000, 0.000, 0.500)
Pa (0.250, 0.250, 0.250)
Sn (0.250, 0.250, 0.750)

Output
- total energy (eV per atom) = -10.54


The following is a PBE calculation of crystalline GdPuPaTc at its relaxed geometry, from Alexandria via LeMat-Bulk.

a b c (Å): 7.104 7.104 7.104
angles (deg): 90.00 90.00 90.00
Space group F-43m (No. 216)
Asymmetric unit:
Gd (0.000, 0.000, 0.000)
Pu (0.250, 0.250, 0.250)
Pa (0.000, 0.000, 0.500)
Tc (0.250, 0.250, 0.750)

Output
- total energy (eV per atom) = -11.91


The following is a PBE calculation of crystalline GdPuThPa at its relaxed geometry, from Alexandria via LeMat-Bulk.

a b c (Å): 7.692 7.692 7.692
angles (deg): 90.00 90.00 90.00
Space group F-43m (No. 216)
Asymmetric unit:
Gd (0.000, 0.000, 0.000)
Pu (0.250, 0.250, 0.750)
Th (0.250, 0.250, 0.250)
Pa (0.000, 0.000, 0.500)

Output
- total energy (eV per atom) = -11.04


The following is a PBE calculation of crystalline GdTmPuPa at its relaxed geometry, from Alexandria via LeMat-Bulk.

a b c (Å): 7.608 7.608 7.608
angles (deg): 90.00 90.00 90.00
Space group F-43m (No. 216)
Asymmetric unit:
Gd (0.000, 0.000, 0.000)
Tm (0.250, 0.250, 0.750)
Pu (0.000, 0.000, 0.500)
Pa (0.250, 0.250, 0.250)

Output
- total energy (eV per atom) = -10.30


The following is a PBE calculation of crystalline GdPaReTc at its relaxed geometry, from Alexandria via LeMat-Bulk.

a b c (Å): 6.887 6.887 6.887
angles (deg): 90.00 90.00 90.00
Space group F-43m (No. 216)
Asymmetric unit:
Gd (0.000, 0.000, 0.000)
Pa (0.000, 0.000, 0.500)
Re (0.250, 0.250, 0.250)
Tc (0.250, 0.250, 0.750)

Output
- total energy (eV per atom) = -11.57


The following is a PBE calculation of crystalline GdPaZnRe at its relaxed geometry, from Alexandria via LeMat-Bulk.

a b c (Å): 7.001 7.001 7.001
angles (deg): 90.00 90.00 90.00
Space group F-43m (No. 216)
Asymmetric unit:
Gd (0.000, 0.000, 0.000)
Pa (0.000, 0.000, 0.500)
Zn (0.250, 0.250, 0.250)
Re (0.250, 0.250, 0.750)

Output
- total energy (eV per atom) = -9.30


The following is a PBE calculation of crystalline GdPaRh2 at its relaxed geometry, from Alexandria via LeMat-Bulk.

a b c (Å): 6.913 6.913 6.913
angles (deg): 90.00 90.00 90.00
Space group Fm-3m (No. 225)
Asymmetric unit:
Gd (0.000, 0.000, 0.000)
Pa (0.000, 0.000, 0.500)
Rh (0.250, 0.250, 0.250)

Output
- total energy (eV per atom) = -10.22
- excess energy over the best structure of this formula in the dataset (meV per atom) = 112


The following is a PBE calculation of crystalline GdPaRh4 at its relaxed geometry, from Alexandria via LeMat-Bulk.

a b c (Å): 7.548 7.548 7.548
angles (deg): 90.00 90.00 90.00
Space group F-43m (No. 216)
Asymmetric unit:
Gd (0.000, 0.000, 0.000)
Pa (0.250, 0.250, 0.250)
Rh (0.125, 0.125, 0.625)

Output
- total energy (eV per atom) = -9.51


The following is a PBE calculation of crystalline GdPaRh2 at its relaxed geometry, from Alexandria via LeMat-Bulk.

a b c (Å): 3.9153 3.9153 20.5356
angles (deg): 90.00 90.00 120.00
Space group R-3m (No. 166, hexagonal axes)
Asymmetric unit:
Gd (0.0000, 0.0000, 0.0000)
Pa (0.0000, 0.0000, 0.5000)
Rh (0.0000, 0.0000, 0.2425)

Output
- total energy (eV per atom) = -10.33
- excess energy over the best structure of this formula in the dataset (meV per atom) = 0


The following is a PBE calculation of crystalline GdPaRh2 at its relaxed geometry, from Alexandria via LeMat-Bulk.

a b c (Å): 3.469 3.469 7.034
angles (deg): 90.00 90.00 90.00
Space group P4/mmm (No. 123)
Asymmetric unit:
Gd (0.000, 0.000, 0.000)
Pa (0.000, 0.000, 0.500)
Rh (0.500, 0.500, 0.286)

Output
- total energy (eV per atom) = -10.32
- excess energy over the best structure of this formula in the dataset (meV per atom) = 14


The following is a PBE calculation of crystalline GdPaZnRh at its relaxed geometry, from Alexandria via LeMat-Bulk.

a b c (Å): 7.016 7.016 7.016
angles (deg): 90.00 90.00 90.00
Space group F-43m (No. 216)
Asymmetric unit:
Gd (0.000, 0.000, 0.000)
Pa (0.000, 0.000, 0.500)
Zn (0.250, 0.250, 0.750)
Rh (0.250, 0.250, 0.250)

Output
- total energy (eV per atom) = -8.36


The following is a PBE calculation of crystalline Gd2PaRu at its relaxed geometry, from Alexandria via LeMat-Bulk.

a b c (Å): 3.382 3.382 8.424
angles (deg): 90.00 90.00 90.00
Space group P4/mmm (No. 123)
Asymmetric unit:
Gd (0.000, 0.000, 0.203)
Pa (0.500, 0.500, 0.500)
Ru (0.500, 0.500, 0.000)

Output
- total energy (eV per atom) = -11.72


The following is a PBE calculation of crystalline GdPaRu2 at its relaxed geometry, from Alexandria via LeMat-Bulk.

a b c (Å): 6.864 6.864 6.864
angles (deg): 90.00 90.00 90.00
Space group Fm-3m (No. 225)
Asymmetric unit:
Gd (0.000, 0.000, 0.000)
Pa (0.000, 0.000, 0.500)
Ru (0.250, 0.250, 0.250)

Output
- total energy (eV per atom) = -10.89
- excess energy over the best structure of this formula in the dataset (meV per atom) = 97


The following is a PBE calculation of crystalline GdPaRu2 at its relaxed geometry, from Alexandria via LeMat-Bulk.

a b c (Å): 3.8183 3.8183 20.6242
angles (deg): 90.00 90.00 120.00
Space group R-3m (No. 166, hexagonal axes)
Asymmetric unit:
Gd (0.0000, 0.0000, 0.0000)
Pa (0.0000, 0.0000, 0.5000)
Ru (0.0000, 0.0000, 0.2435)

Output
- total energy (eV per atom) = -10.78
- excess energy over the best structure of this formula in the dataset (meV per atom) = 209


The following is a PBE calculation of crystalline GdPaRu at its relaxed geometry, from Alexandria via LeMat-Bulk.

a b c (Å): 3.521 3.521 11.074
angles (deg): 90.00 90.00 90.00
Space group I4mm (No. 107)
Asymmetric unit:
Gd (0.000, 0.000, 0.000)
Pa (0.000, 0.000, 0.301)
Ru (0.000, 0.000, 0.694)

Output
- total energy (eV per atom) = -11.26
- excess energy over the best structure of this formula in the dataset (meV per atom) = 0


The following is a PBE calculation of crystalline GdPaRu2 at its relaxed geometry, from Alexandria via LeMat-Bulk.

a b c (Å): 3.455 3.455 6.895
angles (deg): 90.00 90.00 90.00
Space group P4/mmm (No. 123)
Asymmetric unit:
Gd (0.000, 0.000, 0.000)
Pa (0.000, 0.000, 0.500)
Ru (0.500, 0.500, 0.284)

Output
- total energy (eV per atom) = -10.99
- excess energy over the best structure of this formula in the dataset (meV per atom) = 0


The following is a PBE calculation of crystalline GdPaRu at its relaxed geometry, from Alexandria via LeMat-Bulk.

a b c (Å): 4.7624 4.7624 3.2981
angles (deg): 90.00 90.00 120.00
Space group P3m1 (No. 156)
Asymmetric unit:
Gd (0.0000, 0.0000, 0.0000)
Pa (0.6667, 0.3333, 0.6312)
Ru (0.3333, 0.6667, 0.3673)

Output
- total energy (eV per atom) = -10.99
- excess energy over the best structure of this formula in the dataset (meV per atom) = 269